Record 1
Computed, not measured: a relaxed Tl12Au3Cl5 crystal at the PBE level of DFT.

Output
magnetic moment	0.00	μB per cell
E_form (uncorrected)	-295	meV per atom

The structure in POSCAR format:
```
Tl12Au3Cl5
1.0
-8.978 8.978 8.978
8.978 -8.978 8.978
8.978 8.978 -8.978
Tl Au Cl
48 12 20
direct
0.064 0.235 0.133
0.064 0.329 0.932
0.068 0.633 0.397
0.068 0.936 0.671
0.103 0.735 0.671
0.103 0.867 0.432
0.133 0.064 0.235
0.133 0.568 0.897
0.171 0.235 0.603
0.171 0.436 0.568
0.235 0.133 0.064
0.235 0.603 0.171
0.265 0.329 0.897
0.265 0.436 0.367
0.329 0.897 0.265
0.329 0.932 0.064
0.367 0.265 0.436
0.367 0.603 0.932
0.397 0.068 0.633
0.397 0.829 0.765
0.432 0.103 0.867
0.432 0.829 0.564
0.436 0.367 0.265
0.436 0.568 0.171
0.564 0.432 0.829
0.564 0.633 0.735
0.568 0.171 0.436
0.568 0.897 0.133
0.603 0.171 0.235
0.603 0.932 0.367
0.633 0.397 0.068
0.633 0.735 0.564
0.671 0.068 0.936
0.671 0.103 0.735
0.735 0.564 0.633
0.735 0.671 0.103
0.765 0.397 0.829
0.765 0.867 0.936
0.829 0.564 0.432
0.829 0.765 0.397
0.867 0.432 0.103
0.867 0.936 0.765
0.897 0.133 0.568
0.897 0.265 0.329
0.932 0.064 0.329
0.932 0.367 0.603
0.936 0.671 0.068
0.936 0.765 0.867
0.125 0.250 0.375
0.125 0.375 0.750
0.250 0.375 0.125
0.250 0.875 0.625
0.375 0.125 0.250
0.375 0.750 0.125
0.625 0.250 0.875
0.625 0.875 0.750
0.750 0.125 0.375
0.750 0.625 0.875
0.875 0.625 0.250
0.875 0.750 0.625
0.000 0.000 0.000
0.000 0.000 0.500
0.000 0.500 0.000
0.000 0.500 0.500
0.125 0.750 0.875
0.125 0.875 0.250
0.250 0.125 0.875
0.250 0.625 0.375
0.375 0.250 0.625
0.375 0.625 0.750
0.500 0.000 0.000
0.500 0.000 0.500
0.500 0.500 0.000
0.500 0.500 0.500
0.625 0.375 0.250
0.625 0.750 0.375
0.750 0.375 0.625
0.750 0.875 0.125
0.875 0.125 0.750
0.875 0.250 0.125
```

=====

Record 2
Computed, not measured: a relaxed TlAuCl2 crystal at the PBE level of DFT.

Output
magnetic moment	0.00	μB per cell
E_form (uncorrected)	-625	meV per atom

The structure in POSCAR format:
```
TlAuCl2
1.0
2.546 1.470 7.412
-2.546 1.470 7.412
0.000 -2.939 7.412
Tl Au Cl
1 1 2
direct
0.000 0.000 0.000
0.500 0.500 0.500
0.397 0.397 0.397
0.603 0.603 0.603
```

=====

Record 3
Computed, not measured: a relaxed TlAu2Cl crystal at the PBE level of DFT.

Output
magnetic moment	0.00	μB per cell
E_form (uncorrected)	-59	meV per atom

The structure in POSCAR format:
```
TlAu2Cl
1.0
4.012 0.000 0.000
0.000 4.012 0.000
0.000 0.000 6.358
Tl Au Cl
1 2 1
direct
0.000 0.000 0.000
0.000 0.500 0.500
0.500 0.000 0.500
0.500 0.500 0.000
```

=====

Record 4
Computed, not measured: a relaxed TlAuCl2 crystal at the PBE level of DFT.

Output
magnetic moment	0.00	μB per cell
E_form (uncorrected)	-388	meV per atom

The structure in POSCAR format:
```
TlAuCl2
1.0
2.149 1.241 6.719
-2.149 1.241 6.719
0.000 -2.482 6.719
Tl Au Cl
1 1 2
direct
0.000 0.000 0.000
0.500 0.500 0.500
0.234 0.234 0.234
0.766 0.766 0.766
```

=====

Record 5
Computed, not measured: a relaxed TlAuCl2 crystal at the PBE level of DFT.

Output
magnetic moment	0.00	μB per cell
E_form (uncorrected)	-350	meV per atom

The structure in POSCAR format:
```
TlAuCl2
1.0
-1.834 1.965 7.632
1.834 -1.965 7.632
1.834 1.965 -7.632
Tl Au Cl
1 1 2
direct
0.000 0.000 0.000
0.214 0.714 0.500
0.406 0.406 0.000
0.702 0.202 0.500
```

=====

Record 6
Computed, not measured: a relaxed TlAuCl2 crystal at the PBE level of DFT.

Output
magnetic moment	0.00	μB per cell
E_form (uncorrected)	-408	meV per atom

The structure in POSCAR format:
```
TlAuCl2
1.0
2.178 1.257 7.134
-2.178 1.257 7.134
0.000 -2.514 7.134
Tl Au Cl
1 1 2
direct
0.000 0.000 0.000
0.798 0.798 0.798
0.260 0.260 0.260
0.461 0.461 0.461
```

=====

Record 7
Computed, not measured: a relaxed TlAuCl2 crystal at the PBE level of DFT.

Output
magnetic moment	0.00	μB per cell
E_form (uncorrected)	-255	meV per atom

The structure in POSCAR format:
```
TlAuCl2
1.0
3.583 0.000 0.000
0.000 3.583 0.000
0.000 0.000 7.487
Tl Au Cl
1 1 2
direct
0.000 0.000 0.000
0.000 0.000 0.500
0.500 0.500 0.276
0.500 0.500 0.724
```

=====

Record 8
Computed, not measured: a relaxed TlAuCl2 crystal at the PBE level of DFT.

Output
magnetic moment	0.00	μB per cell
E_form (uncorrected)	-426	meV per atom

The structure in POSCAR format:
```
TlAuCl2
1.0
6.692 -2.033 0.000
6.692 2.033 0.000
-1.035 0.000 4.429
Tl Au Cl
1 1 2
direct
0.000 0.000 0.000
0.784 0.784 0.523
0.182 0.182 0.611
0.412 0.412 0.404
```